Density functional theory data (PBE) for Pr6Al2Zn after structural relaxation.

a b c (Å): 5.1906 7.4047 8.9552
angles (deg): 114.42 106.64 90.00
Element x y z (fractional)
Pr: 0.1643 0.4134 0.3294
Pr: 0.8357 0.0840 0.6706
Pr: 0.8357 0.5866 0.6706
Pr: 0.5000 0.2458 0.0000
Pr: 0.1643 0.9160 0.3294
Pr: 0.5000 0.7542 0.0000
Al: 0.6659 0.6666 0.3331
Al: 0.3341 0.3334 0.6669
Zn: 0.0000 0.0000 0.0000

Summary:
DFT formation energy = -0.011 eV/atom
volume = 297 Å³ per cell



Density functional theory data (PBE) for Pr2AlZn6 after structural relaxation.

a b c (Å): 5.8816 5.8816 5.8777
angles (deg): 90.00 90.00 120.00
Element x y z (fractional)
Pr: 0.6667 0.3333 0.8459
Pr: 0.3333 0.6667 0.1541
Al: 0.0000 0.0000 0.0000
Zn: 0.8225 0.1775 0.3417
Zn: 0.3550 0.1775 0.3417
Zn: 0.8225 0.6450 0.3417
Zn: 0.1775 0.8225 0.6583
Zn: 0.6450 0.8225 0.6583
Zn: 0.1775 0.3550 0.6583

Summary:
energy relative to the lowest polymorph listed for this composition = 0 meV/atom
DFT formation energy = -0.317 eV/atom
volume = 176 Å³ per cell